# 1
# La2Dy3Tm2

A relaxed La2Dy3Tm2 crystal (GGA-PBE, Alexandria).

Its offset from the most stable computed form is 110 meV/atom. Its space-group type is No. 12. The total moment comes out at 0.00 μB/f.u. The density of states at the Fermi level comes out at 11.195 states/eV/cell. The value obtained for the energy relative to the elements is 0.13 eV/atom.

Cell: 3.514 8.574 9.019 Å, 118.59 101.23 90.00°
Atoms (fractional coordinates):
La: 0.567 0.916 0.133
La: 0.433 0.084 0.867
Dy: 0.000 0.500 0.000
Dy: 0.212 0.796 0.423
Dy: 0.788 0.204 0.577
Tm: 0.846 0.659 0.693
Tm: 0.154 0.341 0.307


# 2
# MnTe3Ir

A relaxed MnTe3Ir crystal (GGA-PBE, Alexandria).

Its offset from the most stable computed form is 0 meV/atom. Its space-group type is No. 221. The total moment comes out at 1.91 μB/f.u. The density of states at the Fermi level comes out at 6.102 states/eV/cell. The calculation puts the formation energy (no corrections) at 1.0124 eV per atom.

Cell: 4.928 4.928 4.928 Å, 90.00 90.00 90.00°
Last column: magnetic moment on the atom in μB.
Atoms (fractional coordinates):
Ir: 0.500 0.500 0.500  -0.49
Te: 0.000 0.500 0.000  -0.02
Te: 0.000 0.000 0.500  0.01
Te: 0.500 0.000 0.000  0.01
Mn: 0.000 0.000 0.000  2.26


# 3
# Ag3HBr

A relaxed Ag3HBr crystal (GGA-PBE, Alexandria).

Its offset from the most stable computed form is 0 meV/atom. Its space-group type is No. 221. The total moment comes out at 0.00 μB/f.u. The density of states at the Fermi level comes out at 0.939 states/eV/cell.

Cell: 4.399 4.399 4.399 Å, 90.00 90.00 90.00°
Atoms (fractional coordinates):
H: 0.000 0.000 0.000
Br: 0.500 0.500 0.500
Ag: 0.000 0.500 0.000
Ag: 0.000 0.000 0.500
Ag: 0.500 0.000 0.000


# 4
# Zn2IrRu

A relaxed Zn2IrRu crystal (GGA-PBE, Alexandria).

Its offset from the most stable computed form is 40 meV/atom. Its space-group type is No. 6. The total moment comes out at 0.00 μB/f.u. The density of states at the Fermi level comes out at 3.980 states/eV/cell. The value obtained for the energy relative to the elements is -0.02 eV/atom.

Cell: 3.782 2.759 6.120 Å, 62.84 90.00 90.00°
Atoms (fractional coordinates):
Ir: 0.000 0.493 0.508
Ru: 0.500 0.757 0.742
Zn: 0.000 0.995 0.004
Zn: 0.500 0.255 0.246


# 5
# TbNd5YEr2

A relaxed TbNd5YEr2 crystal (GGA-PBE, Alexandria).

Its space-group type is No. 36. The total moment comes out at 0.00 μB/f.u. The density of states at the Fermi level comes out at 29.464 states/eV/cell. The value obtained for the energy relative to the elements is 0.15 eV/atom.

Cell: 5.655 10.629 10.695 Å, 90.00 90.00 105.43°
Atoms (fractional coordinates):
Tb: 0.801 0.601 0.511
Tb: 0.199 0.399 0.011
Nd: 0.386 0.772 0.022
Nd: 0.721 0.442 0.812
Nd: 0.482 0.964 0.744
Nd: 0.297 0.594 0.707
Nd: 0.985 0.970 0.518
Nd: 0.614 0.228 0.522
Nd: 0.279 0.558 0.312
Nd: 0.518 0.036 0.244
Nd: 0.703 0.406 0.207
Nd: 0.015 0.030 0.018
Y: 0.592 0.184 0.961
Y: 0.408 0.816 0.461
Er: 0.885 0.771 0.810
Er: 0.112 0.225 0.739
Er: 0.115 0.229 0.310
Er: 0.888 0.775 0.239


# 6
# Y2Zn2Cd

A relaxed Y2Zn2Cd crystal (GGA-PBE, Alexandria).

Its space-group type is No. 65. The total moment comes out at 0.00 μB/f.u. The density of states at the Fermi level comes out at 4.737 states/eV/cell. The value obtained for the energy relative to the elements is -0.36 eV/atom.

Cell: 3.646 4.422 7.421 Å, 107.33 90.00 90.00°
Atoms (fractional coordinates):
Y: 0.500 0.626 0.252
Y: 0.500 0.374 0.748
Zn: 0.000 0.202 0.404
Zn: 0.000 0.798 0.596
Cd: 0.000 0.000 0.000


# 7
# MgSi2Ag

A relaxed MgSi2Ag crystal (GGA-PBE, Alexandria).

Its space-group type is No. 71. The total moment comes out at 0.00 μB/f.u. The density of states at the Fermi level comes out at 1.670 states/eV/cell. The calculation puts the formation energy (no corrections) at 0.2770 eV per atom.

Cell: 5.657 5.657 5.657 Å, 150.23 129.32 59.89°
Atoms (fractional coordinates):
Ag: 0.750 0.250 0.500
Mg: 0.250 0.750 0.500
Si: 0.992 0.992 0.000
Si: 0.508 0.508 0.000


# 8
# Mg2Be2CdPd5

A relaxed Mg2Be2CdPd5 crystal (GGA-PBE, Alexandria).

Its space-group type is No. 127. The total moment comes out at 0.00 μB/f.u. The density of states at the Fermi level comes out at 6.220 states/eV/cell. The value obtained for the energy relative to the elements is -0.57 eV/atom.

Cell: 3.289 9.588 9.588 Å, 90.00 90.00 90.00°
Atoms (fractional coordinates):
Mg: 0.000 0.675 0.175
Mg: 0.000 0.325 0.825
Mg: 0.000 0.175 0.325
Mg: 0.000 0.825 0.675
Be: 0.000 0.123 0.623
Be: 0.000 0.877 0.377
Be: 0.000 0.623 0.877
Be: 0.000 0.377 0.123
Cd: 0.000 0.000 0.000
Cd: 0.000 0.500 0.500
Pd: 0.500 0.218 0.073
Pd: 0.500 0.782 0.927
Pd: 0.500 0.073 0.782
Pd: 0.500 0.718 0.427
Pd: 0.500 0.927 0.218
Pd: 0.500 0.282 0.573
Pd: 0.500 0.573 0.718
Pd: 0.500 0.427 0.282
Pd: 0.500 0.500 0.000
Pd: 0.500 0.000 0.500


# 9
# LaScNi3

A relaxed LaScNi3 crystal (GGA-PBE, Alexandria).

Its offset from the most stable computed form is 618 meV/atom. Its space-group type is No. 221. The total moment comes out at 0.00 μB/f.u. The density of states at the Fermi level comes out at 5.400 states/eV/cell. The value obtained for the energy relative to the elements is 0.81 eV/atom.

Cell: 4.768 4.768 4.768 Å, 90.00 90.00 90.00°
Atoms (fractional coordinates):
Sc: 0.500 0.500 0.500
Ni: 0.000 0.500 0.000
Ni: 0.000 0.000 0.500
Ni: 0.500 0.000 0.000
La: 0.000 0.000 0.000


# 10
# LaPr8Cd6

A relaxed LaPr8Cd6 crystal (GGA-PBE, Alexandria).

Its space-group type is No. 148. The total moment comes out at 0.55 μB/f.u. The density of states at the Fermi level comes out at 22.449 states/eV/cell. The value obtained for the energy relative to the elements is -0.10 eV/atom.

Cell: 9.325 9.325 8.519 Å, 56.82 56.82 60.00°
Atoms (fractional coordinates):
La: 0.000 0.000 0.000
Pr: 0.551 0.213 0.355
Pr: 0.787 0.119 0.645
Pr: 0.119 0.449 0.645
Pr: 0.667 0.667 0.999
Pr: 0.333 0.333 0.001
Pr: 0.881 0.551 0.355
Pr: 0.213 0.881 0.355
Pr: 0.449 0.787 0.645
Cd: 0.386 0.049 0.852
Cd: 0.951 0.287 0.148
Cd: 0.287 0.614 0.148
Cd: 0.713 0.386 0.852
Cd: 0.049 0.713 0.852
Cd: 0.614 0.951 0.148


# 11
# LiFeIr

A relaxed LiFeIr crystal (GGA-PBE, Alexandria).

Its offset from the most stable computed form is 347 meV/atom. Its space-group type is No. 129. The total moment comes out at 2.00 μB/f.u. The density of states at the Fermi level comes out at 6.082 states/eV/cell. The value obtained for the energy relative to the elements is 0.31 eV/atom.

Cell: 3.449 3.449 6.277 Å, 90.00 90.00 90.00°
Last column: magnetic moment on the atom in μB.
Atoms (fractional coordinates):
Ir: 0.000 0.500 0.807  -0.02
Ir: 0.500 0.000 0.193  -0.02
Fe: 0.000 0.000 0.500  2.01
Fe: 0.500 0.500 0.500  2.01
Li: 0.000 0.500 0.199  -0.01
Li: 0.500 0.000 0.801  -0.01


# 12
# Tm5Mg2Tl2

A relaxed Tm5Mg2Tl2 crystal (GGA-PBE, Alexandria).

Its space-group type is No. 46. The total moment comes out at 0.00 μB/f.u. The density of states at the Fermi level comes out at 19.461 states/eV/cell. The value obtained for the energy relative to the elements is -0.07 eV/atom.

Cell: 8.734 6.105 10.778 Å, 106.45 113.90 90.00°
Atoms (fractional coordinates):
Tm: 0.153 0.634 0.804
Tm: 0.847 0.830 0.196
Tm: 0.151 0.134 0.804
Tm: 0.849 0.330 0.196
Tm: 0.282 0.141 0.320
Tm: 0.718 0.822 0.680
Tm: 0.538 0.641 0.320
Tm: 0.462 0.322 0.680
Tm: 0.275 0.732 0.500
Tm: 0.725 0.232 0.500
Mg: 0.157 0.545 0.125
Mg: 0.843 0.420 0.875
Mg: 0.469 0.045 0.125
Mg: 0.531 0.920 0.875
Tl: 0.000 0.981 0.000
Tl: 0.500 0.481 0.000
Tl: 0.082 0.231 0.500
Tl: 0.918 0.731 0.500